A relaxed structure of Pm4BiS3, computed with PBE-GGA.

Unit cell a=4.1517 b=5.9462 c=8.4287 alpha=90.00 beta=90.00 gamma=90.00
Sites, in units of the cell vectors:
Pm 0.0000 0.0000 0.0000
Pm 0.0000 0.0000 0.5000
Pm 0.5000 0.5000 0.2226
Pm 0.5000 0.5000 0.7774
Bi 0.0000 0.5000 0.5000
S 0.0000 0.5000 0.0000
S 0.5000 0.0000 0.2459
S 0.5000 0.0000 0.7541

Output
calculated density	7.06	g/cm3
N(E_F)	2.8	states/eV per cell
energy relative to the elements, uncorrected	-1662	meV per atom
magnetic moment	0.0	μB per cell